Cu4SbCl after structural relaxation. Source: Alexandria via LeMat-Bulk, functional PBE.

a = 5.111 Å, b = 5.111 Å, c = 5.111 Å
α = 60.00°, β = 60.00°, γ = 60.00°
Fractional positions:
1 Sb 0.250 0.250 0.250
2 Cu 0.625 0.126 0.625
3 Cu 0.625 0.625 0.126
4 Cl 0.000 0.000 0.000
5 Cu 0.625 0.625 0.625
6 Cu 0.126 0.625 0.625

density: 7.234 g cm⁻³
symmetry: F-43m (216)
calculated volume: 15.738 Å³ per atom
DFT total energy: -0.257 Ry per atom
M_tot: 0.00 μB/atom